Record 1
## LaBe17Ru (PBE)

Data for LaBe17Ru after structural relaxation.

The structure in POSCAR format:
```
LaBe17Ru
1.0
-2.8735 -3.6141 3.4037
3.3378 -4.5751 -0.9117
3.3197 0.6596 4.6312
La Be Ru
1 17 1
Direct
0.6531 0.6531 0.6531
0.2838 0.0110 0.7100
0.7100 0.2838 0.0110
0.0110 0.7100 0.2838
0.2838 0.7100 0.0110
0.0110 0.2838 0.7100
0.7100 0.0110 0.2838
0.3343 0.8769 0.3343
0.3343 0.3343 0.8769
0.8769 0.3343 0.3343
0.6529 0.1583 0.6529
0.6529 0.6529 0.1583
0.1583 0.6529 0.6529
0.9984 0.5059 0.9984
0.9984 0.9984 0.5059
0.5059 0.9984 0.9984
0.9088 0.9088 0.9088
0.0985 0.0985 0.0985
0.3176 0.3176 0.3176
```

Properties
SG: R3m (160)
Calculated formation energy (eV per atom): 0.00



Record 2
## CrReRu2 (PBE)

Data for CrReRu2 after structural relaxation.

The structure in POSCAR format:
```
CrReRu2
1.0
-5.6383 -1.0171 6.8109
-6.0147 -3.4021 5.6092
-3.9769 -3.0734 7.3452
Cr Re Ru
1 1 2
Direct
0.2500 0.2500 0.2500
0.7500 0.7500 0.7500
0.9968 0.9968 0.9968
0.5032 0.5032 0.5032
```

Properties
E above lowest polymorph (eV per atom): 0.061
SG: R-3m (166)
Calculated formation energy (eV per atom): 0.13



Record 3
## NpNb2B6 (PBE)

Data for NpNb2B6 after structural relaxation.

The structure in POSCAR format:
```
NpNb2B6
1.0
-1.6963 2.8798 -1.2840
-3.3114 -3.2268 -2.8623
-1.3402 1.4674 5.0617
Np Nb B
1 2 6
Direct
0.0000 0.0000 0.0000
0.0000 0.3333 0.6667
0.0000 0.6667 0.3333
0.5000 0.3366 0.3366
0.5000 0.6634 0.6634
0.5000 0.0000 0.6634
0.5000 0.6634 0.0000
0.5000 0.3366 0.0000
0.5000 0.0000 0.3366
```

Properties
SG: P6/mmm (191)
Calculated formation energy (eV per atom): -0.55



Record 4
## U2Cr2TcC4 (PBE)

Data for U2Cr2TcC4 after structural relaxation.

The structure in POSCAR format:
```
U2Cr2TcC4
1.0
-0.6902 2.4994 -1.5024
-5.8841 -1.6174 3.0010
2.4637 2.9770 3.8206
U Cr Tc C
2 2 1 4
Direct
0.8764 0.7527 0.4778
0.1236 0.2473 0.5222
0.3231 0.6462 0.9632
0.6769 0.3538 0.0368
0.0000 0.0000 0.0000
0.7544 0.5087 0.7573
0.2456 0.4913 0.2427
0.4588 0.9176 0.2391
0.5412 0.0824 0.7609
```

Properties
SG: C2/m (12)
Calculated formation energy (eV per atom): -0.12



Record 5
## Cr2CdPd8 (PBE)

Data for Cr2CdPd8 after structural relaxation.

The structure in POSCAR format:
```
Cr2CdPd8
1.0
3.8496 0.0000 -1.1066
-0.6162 5.8904 -2.1437
0.0205 0.4952 7.3206
Cr Cd Pd
2 1 8
Direct
0.2233 0.6493 0.4466
0.7767 0.3507 0.5534
0.5000 0.0000 0.0000
0.5997 0.4654 0.1994
0.3177 0.0825 0.6354
0.1469 0.2058 0.2939
0.0455 0.7236 0.0911
0.8531 0.7942 0.7061
0.6823 0.9175 0.3646
0.4003 0.5346 0.8006
0.9545 0.2764 0.9089
```

Properties
SG: C2/m (12)
Calculated formation energy (eV per atom): -0.12



Record 6
## La2CrTc (PBE)

Data for La2CrTc after structural relaxation.

The structure in POSCAR format:
```
La2CrTc
1.0
7.6125 0.0000 0.0000
0.0000 7.6125 0.0000
3.8062 3.8062 3.0756
Cr Tc La
2 2 4
Direct
0.5000 0.5000 0.0000
0.2500 0.7500 0.5000
0.0000 0.0000 0.0000
0.7500 0.2500 0.5000
0.6320 0.1250 0.2500
0.1180 0.6250 0.2500
0.3750 0.3680 0.7500
0.8750 0.8820 0.7500
```

Properties
E above lowest polymorph (eV per atom): 0.705
SG: I-42d (122)
Calculated formation energy (eV per atom): 0.95



Record 7
## Ca6SnHg5 (PBE)

Data for Ca6SnHg5 after structural relaxation.

The structure in POSCAR format:
```
Ca6SnHg5
1.0
5.2008 0.0022 -1.0946
-0.0034 7.7788 -0.0008
-0.9817 0.0004 8.3498
Ca Sn Hg
6 1 5
Direct
0.8330 0.7459 0.6650
0.8330 0.2541 0.6650
0.5000 0.2555 0.0000
0.5000 0.7445 0.0000
0.1670 0.7459 0.3350
0.1670 0.2541 0.3350
0.0000 0.0000 0.0000
0.6644 0.5000 0.3326
0.3366 0.0000 0.6708
0.0000 0.5000 0.0000
0.6634 0.0000 0.3292
0.3356 0.5000 0.6674
```

Properties
SG: P2/m (10)
Calculated formation energy (eV per atom): -0.59



Record 8
## Na2Tl5 (PBE)

Data for Na2Tl5 after structural relaxation.

The structure in POSCAR format:
```
Na2Tl5
1.0
5.7495 0.0000 -1.6725
-0.0389 6.7311 -0.1338
-0.0066 0.0678 10.6961
Na Tl
4 10
Direct
0.5239 0.6063 0.8515
0.6725 0.8937 0.1485
0.4761 0.3937 0.1485
0.3275 0.1063 0.8515
0.0549 0.5336 0.2830
0.7718 0.9664 0.7170
0.3658 0.3247 0.5724
0.7934 0.1753 0.4276
0.6342 0.6753 0.4276
0.2066 0.8247 0.5724
0.2282 0.0336 0.2830
0.9451 0.4664 0.7170
0.0983 0.7500 0.0000
0.9017 0.2500 0.0000
```

Properties
E above lowest polymorph (eV per atom): 0.000
SG: C2/c (15)
Calculated formation energy (eV per atom): -0.06



Record 9
## ThInSnHg (PBE)

Data for ThInSnHg after structural relaxation.

The structure in POSCAR format:
```
ThInSnHg
1.0
5.3492 0.0000 0.0000
2.6746 4.6326 0.0000
2.6746 1.5442 4.3676
In Hg Th Sn
1 1 1 1
Direct
0.7500 0.7500 0.7500
0.5000 0.5000 0.5000
0.2500 0.2500 0.2500
0.0000 0.0000 0.0000
```

Properties
E above lowest polymorph (eV per atom): 0.224
SG: F-43m (216)
Calculated formation energy (eV per atom): -0.15



Record 10
## HgPd4Au7 (PBE)

Data for HgPd4Au7 after structural relaxation.

The structure in POSCAR format:
```
HgPd4Au7
1.0
5.1021 0.0000 0.0000
2.5511 8.5982 -0.2179
2.5511 0.0681 5.2243
Hg Pd Au
1 4 7
Direct
0.0000 0.0000 0.0000
0.5797 0.2307 0.6100
0.4203 0.7693 0.3900
0.7266 0.6859 0.8609
0.2734 0.3141 0.1391
0.7941 0.9156 0.4962
0.2059 0.0844 0.5038
0.0399 0.6203 0.2999
0.9601 0.3797 0.7001
0.3420 0.5470 0.7690
0.5000 0.0000 0.0000
0.6580 0.4530 0.2310
```

Properties
SG: C2/m (12)
Calculated formation energy (eV per atom): 0.12



Record 11
## CdTe2WN (PBE)

Data for CdTe2WN after structural relaxation.

The structure in POSCAR format:
```
CdTe2WN
1.0
-0.5152 3.6688 4.1610
-5.3166 0.8665 -1.4223
-1.1287 -2.9234 2.4379
N Te W Cd
1 2 1 1
Direct
0.0000 0.0000 0.5000
0.0000 0.5000 0.0000
0.5000 0.0000 0.0000
0.5000 0.5000 0.5000
0.0000 0.0000 0.0000
```

Properties
Formation energy from raw total energies (eV per formula unit): 9.4
E above lowest polymorph (eV per atom): 1.648
SG: P4/mmm (123)



Record 12
## Dy3Y2Ho6Tm (PBE)

Data for Dy3Y2Ho6Tm after structural relaxation.

The structure in POSCAR format:
```
Dy3Y2Ho6Tm
1.0
6.1172 0.0024 0.0007
-3.0550 5.2997 0.0007
-1.0167 -1.7603 11.5336
Dy Y Ho Tm
3 2 6 1
Direct
0.1667 0.8333 0.5000
0.8333 0.1667 0.5000
0.5000 0.5000 0.5000
0.3334 0.6666 0.0000
0.6666 0.3334 0.0000
0.9164 0.5840 0.7498
0.7512 0.7512 0.2504
0.0836 0.4160 0.2502
0.5840 0.9164 0.7498
0.2488 0.2488 0.7496
0.4160 0.0836 0.2502
0.0000 0.0000 0.0000
```

Properties
SG: C2/m (12)
Calculated formation energy (eV per atom): 0.02